1.
Computed, not measured: a relaxed PaTi2Te crystal at the PBE level of DFT.

Output
uncorrected formation energy: -0.2206 eV per atom
total magnetic moment: 0.0 μB per formula unit
relative energy among the computed polymorphs: 0.0000 eV/atom
calculated density: 9.477 Mg/m³
energy: -7.327 eV per atom

Cell and atoms, written as POSCAR:
```
PaTi2Te
1.0
-0.008 -0.556 -3.674
-2.569 -3.806 0.582
-3.851 2.541 -0.377
Ti Pa Te
2 1 1
Direct
0.000 0.500 0.000 Ti
0.000 0.000 0.500 Ti
0.500 0.500 0.500 Pa
0.500 0.000 0.000 Te
```

***

2.
Computed, not measured: a relaxed K2AgP crystal at the PBE level of DFT.

Output
total magnetic moment: 0.0 μB per formula unit
calculated density: 2.932 Mg/m³
ΔH_f (0 K): -0.244 eV/atom
energy: -2.858 eV per atom

Cell and atoms, written as POSCAR:
```
K2AgP
1.0
5.961 -0.015 0.008
1.461 5.780 -0.008
-3.185 -3.559 3.567
P Ag K
1 1 2
Direct
0.416 0.416 0.000 P
0.337 0.837 0.500 Ag
0.032 0.032 0.000 K
0.715 0.215 0.500 K
```

***

3.
Computed, not measured: a relaxed Pu3BiRh2 crystal at the PBE level of DFT.

Output
total magnetic moment: 15.6 μB per formula unit
calculated density: 14.854 Mg/m³
ΔH_f (0 K): -0.313 eV/atom
energy: -10.577 eV per atom

Cell and atoms, written as POSCAR:
```
Pu3BiRh2
1.0
-4.232 -0.442 -2.194
1.045 -4.040 -1.201
-0.356 -1.967 6.306
Bi Pu Rh
1 3 2
Direct
0.000 0.000 0.000 Bi
0.675 0.000 0.351 Pu
0.500 0.500 0.000 Pu
0.325 0.000 0.649 Pu
0.176 0.500 0.352 Rh
0.824 0.500 0.648 Rh
```